# 1
Computed, not measured: a geometry-optimized KRePSe2 structure at the PBE-GGA level of DFT.

Results
Space-group type: P4/mmm (123)
Formation energy without anion corrections (meV per atom): 732
Spin magnetization (μB/cell): 2.65
DOS at the Fermi energy (states/eV per cell): 4.176

```
KRePSe2
1.0
-4.606 -1.046 -0.582
-0.336 -2.213 6.640
-1.175 4.393 1.405
Re K Se P
1 1 2 1
Cartesian
0.000 0.000 0.000 Re
-0.168 -1.107 3.320 K
-0.587 2.196 0.702 Se
-2.303 -0.523 -0.291 Se
-3.059 0.567 3.732 P
```

***

# 2
Computed, not measured: a geometry-optimized KRe2PSe structure at the PBE-GGA level of DFT.

Results
Space-group type: P4/mmm (123)
Formation energy without anion corrections (meV per atom): 3576
Spin magnetization (μB/cell): 4.73
DOS at the Fermi energy (states/eV per cell): 5.675

```
KRe2PSe
1.0
4.800 0.000 0.000
0.000 5.221 0.000
0.000 0.000 4.800
Re K Se P
2 1 1 1
Cartesian
0.000 0.000 2.400 Re
2.400 0.000 0.000 Re
0.000 0.000 0.000 K
0.000 2.610 0.000 Se
2.400 2.610 2.400 P
```

***

# 3
Computed, not measured: a geometry-optimized KTa2ReP structure at the PBE-GGA level of DFT.

Results
Space-group type: P4/mmm (123)
Spin magnetization (μB/cell): 1.88
Formation energy from the elements (kJ per mole of atoms): 144.3
DOS at the Fermi energy (states/eV per cell): 5.874

```
KTa2ReP
1.0
4.650 0.000 0.000
0.000 5.154 0.000
0.000 0.000 4.650
Re K P Ta
1 1 1 2
Cartesian
2.325 2.577 2.325 Re
0.000 2.577 0.000 K
0.000 0.000 0.000 P
0.000 0.000 2.325 Ta
2.325 0.000 0.000 Ta
```

***

# 4
Computed, not measured: a geometry-optimized KY2ReP structure at the PBE-GGA level of DFT.

Results
Space-group type: P4/mmm (123)
Spin magnetization (μB/cell): 2.54
Formation energy from the elements (kJ per mole of atoms): 195.1
DOS at the Fermi energy (states/eV per cell): 4.090

```
KY2ReP
1.0
5.160 0.000 0.000
0.000 4.985 0.000
0.000 0.000 5.160
Y Re K P
2 1 1 1
Cartesian
0.000 0.000 2.580 Y
2.580 0.000 0.000 Y
2.580 2.493 2.580 Re
0.000 0.000 0.000 K
0.000 2.493 0.000 P
```

***

What is the DOS at the Fermi energy in the fourth record? 4.090 states/eV per cell

***

Number 3 is which compound? KTa2ReP